No. 1
## Ni2Mo (SCAN)

Data for a PBEsol-optimized structure of Ni2Mo. Values from VASP.

Cell and atoms, written as Quantum ESPRESSO input:
```
&SYSTEM
  ibrav = 0, nat = 12, ntyp = 2
/
ATOMIC_SPECIES
Mo 95.94 Mo.upf
Ni 58.69 Ni.upf
CELL_PARAMETERS angstrom
-3.219 -1.764 -2.824
3.061 -2.801 2.058
-4.729 -0.827 5.907
ATOMIC_POSITIONS angstrom
Mo -5.579 -2.888 4.365
Mo -3.766 -2.571 2.101
Mo -1.121 -2.821 3.039
Mo 0.691 -2.504 0.775
Ni 0.000 0.000 0.000
Ni -2.364 -0.413 2.953
Ni -3.339 -2.146 -0.522
Ni -1.832 -3.526 0.492
Ni -3.134 -4.115 4.271
Ni -1.754 -1.277 0.869
Ni -3.056 -1.866 4.649
Ni -1.548 -3.246 5.662
```

Results
theoretical density: 10.020 Mg/m³
space group: P6_3/mmc, No. 194

=====

No. 2
## NiMo2 (SCAN)

Data for a PBEsol-optimized structure of NiMo2. Values from VASP.

Cell and atoms, written as Quantum ESPRESSO input:
```
&SYSTEM
  ibrav = 0, nat = 3, ntyp = 2
/
ATOMIC_SPECIES
Ni 58.69 Ni.upf
Mo 95.94 Mo.upf
CELL_PARAMETERS angstrom
-0.324 2.521 -0.532
-2.473 -0.455 -0.649
-0.283 -0.044 6.308
ATOMIC_POSITIONS angstrom
Ni 0.000 0.000 0.000
Mo -1.921 1.341 1.185
Mo -1.160 0.682 3.943
```

Results
theoretical density: 10.210 Mg/m³
space group: I4/mmm, No. 139

=====

No. 3
## Ni2Mo (SCAN)

Data for a PBEsol-optimized structure of Ni2Mo. Values from VASP.

Cell and atoms, written as Quantum ESPRESSO input:
```
&SYSTEM
  ibrav = 0, nat = 3, ntyp = 2
/
ATOMIC_SPECIES
Ni 58.69 Ni.upf
Mo 95.94 Mo.upf
CELL_PARAMETERS angstrom
-0.321 -1.321 -2.195
1.617 -1.820 0.859
-4.770 -1.060 2.854
ATOMIC_POSITIONS angstrom
Ni -2.698 -1.722 1.431
Ni -0.776 -2.480 0.087
Mo 0.000 0.000 0.000
```

Results
theoretical density: 9.920 Mg/m³
space group: I4/mmm, No. 139

=====

No. 4
## NiMo4 (SCAN)

Data for a PBEsol-optimized structure of NiMo4. Values from VASP.

Cell and atoms, written as Quantum ESPRESSO input:
```
&SYSTEM
  ibrav = 0, nat = 5, ntyp = 2
/
ATOMIC_SPECIES
Mo 95.94 Mo.upf
Ni 58.69 Ni.upf
CELL_PARAMETERS angstrom
3.176 0.000 0.000
1.588 4.773 0.000
1.588 0.000 4.773
ATOMIC_POSITIONS angstrom
Mo 1.588 0.924 1.945
Mo 3.176 2.828 0.924
Mo 4.763 3.849 2.828
Mo 3.176 1.945 3.849
Ni 0.000 0.000 0.000
```

Results
theoretical density: 10.155 Mg/m³
space group: I4/m, No. 87

=====

No. 5
## Ni5Mo (SCAN)

Data for a PBEsol-optimized structure of Ni5Mo. Values from VASP.

Cell and atoms, written as Quantum ESPRESSO input:
```
&SYSTEM
  ibrav = 0, nat = 6, ntyp = 2
/
ATOMIC_SPECIES
Mo 95.94 Mo.upf
Ni 58.69 Ni.upf
CELL_PARAMETERS angstrom
2.547 0.000 0.000
-1.274 4.633 -0.002
0.000 -1.553 5.668
ATOMIC_POSITIONS angstrom
Mo 0.000 0.029 0.030
Ni 0.000 3.134 1.575
Ni 1.274 1.033 1.942
Ni 0.000 -0.468 3.440
Ni 0.000 2.054 3.768
Ni 1.274 0.627 5.298
```

Results
theoretical density: 9.670 Mg/m³
space group: Cm, No. 8

=====

No. 6
## Ni5Mo (SCAN)

Data for a PBEsol-optimized structure of Ni5Mo. Values from VASP.

Cell and atoms, written as Quantum ESPRESSO input:
```
&SYSTEM
  ibrav = 0, nat = 6, ntyp = 2
/
ATOMIC_SPECIES
Mo 95.94 Mo.upf
Ni 58.69 Ni.upf
CELL_PARAMETERS angstrom
4.049 0.000 0.000
0.000 4.348 0.000
0.000 -2.174 3.765
ATOMIC_POSITIONS angstrom
Mo 2.024 0.000 0.000
Ni 0.000 0.745 1.291
Ni 0.000 2.857 0.000
Ni 0.000 -1.429 2.474
Ni 2.024 0.000 2.510
Ni 2.024 2.174 1.255
```

Results
theoretical density: 9.755 Mg/m³
space group: P-62m, No. 189

=====

No. 7
## NiMo (SCAN)

Data for a PBEsol-optimized structure of NiMo. Values from VASP.

Cell and atoms, written as Quantum ESPRESSO input:
```
&SYSTEM
  ibrav = 0, nat = 4, ntyp = 2
/
ATOMIC_SPECIES
Ni 58.69 Ni.upf
Mo 95.94 Mo.upf
CELL_PARAMETERS angstrom
-1.029 -1.826 -1.536
1.675 0.638 -1.881
4.959 -5.062 2.698
ATOMIC_POSITIONS angstrom
Ni 2.512 -4.003 0.879
Ni 2.770 -1.653 0.111
Mo 0.237 -1.681 -0.359
Mo 5.045 -3.976 1.348
```

Results
theoretical density: 10.029 Mg/m³
space group: P4/nmm, No. 129

=====

No. 8
## Ni3Mo2 (SCAN)

Data for a PBEsol-optimized structure of Ni3Mo2. Values from VASP.

Cell and atoms, written as Quantum ESPRESSO input:
```
&SYSTEM
  ibrav = 0, nat = 5, ntyp = 2
/
ATOMIC_SPECIES
Mo 95.94 Mo.upf
Ni 58.69 Ni.upf
CELL_PARAMETERS angstrom
3.985 0.000 0.000
-1.992 3.451 0.000
0.000 0.000 5.099
ATOMIC_POSITIONS angstrom
Mo 0.000 2.300 4.304
Mo 1.992 1.150 0.795
Ni 0.000 0.000 0.000
Ni 0.000 2.300 1.881
Ni 1.992 1.150 3.218
```

Results
theoretical density: 8.716 Mg/m³
space group: P-3m1, No. 164

=====

Asked for electronic total energy across the records above, the calculation gives -22.38 -28.57 -22.37 -30.96 -19.19 -19.27 -25.46 -23.05 eV per atom in order.
Asked for magnetic moment across the records above, the calculation gives 0.01 0.00 0.66 0.00 0.00 0.00 0.00 0.00 μB/cell in order.
Asked for ΔH_f (0 K) across the records above, the calculation gives 34 78 42 183 107 25 69 613 meV per atom in order.